# AcMn2BrO4 (PBE+U, optimized geometry)
data_AcMn2BrO4
_cell_length_a 3.861
_cell_length_b 3.861
_cell_length_c 9.267
_cell_angle_alpha 90.00
_cell_angle_beta 90.00
_cell_angle_gamma 90.00
_space_group_name_H-M_alt 'P 4/m m m'
_space_group_IT_number 123
_space_group_name_Hall '-P 4 2'
loop_
_atom_site_label
_atom_site_fract_x
_atom_site_fract_y
_atom_site_fract_z
Ac1 0.000 0.000 0.000
Mn1 0.500 0.500 0.243
Br1 0.000 0.000 0.500
O1 0.000 0.500 0.178
# Total energy (eV/atom): -6.826
# D(E_F) (states/eV per cell): 2.6